# 1
A geometry-optimized Sm8C3NO3 structure. Source: Alexandria via LeMat-Bulk, functional PBE.

a = 7.2540 Å, b = 7.2540 Å, c = 7.2540 Å
α = 60.22°, β = 60.22°, γ = 60.22°
With the nearest neighbours (Å) after each atom.
Fractional positions:
Sm 0.2489 0.2489 0.2489  3 C 2.56, 3 O 2.58
Sm 0.2507 0.7440 0.7440  1 N 2.51, 2 C 2.54, 2 O 2.60
Sm 0.2560 0.2560 0.7493  1 N 2.51, 2 C 2.54, 2 O 2.60
Sm 0.2560 0.7493 0.2560  1 N 2.51, 2 C 2.54, 2 O 2.60
Sm 0.7440 0.2507 0.7440  1 N 2.51, 2 C 2.54, 2 O 2.60
Sm 0.7440 0.7440 0.2507  1 N 2.51, 2 C 2.54, 2 O 2.60
Sm 0.7493 0.2560 0.2560  1 N 2.51, 2 C 2.54, 2 O 2.60
Sm 0.7511 0.7511 0.7511  3 C 2.56, 3 O 2.58
C 0.0000 0.0000 0.5000  6 Sm 2.54-2.56
C 0.0000 0.5000 0.0000  6 Sm 2.54-2.56
C 0.5000 0.0000 0.0000  6 Sm 2.54-2.56
N 0.5000 0.5000 0.5000  6 Sm 2.51
O 0.0000 0.5000 0.5000  6 Sm 2.58-2.60
O 0.5000 0.0000 0.5000  6 Sm 2.58-2.60
O 0.5000 0.5000 0.0000  6 Sm 2.58-2.60

Properties
Energy relative to the elements, uncorrected: -138.6 kJ per mole of atoms
DOS(E_F): 5.92 states/eV/cell



# 2
A geometry-optimized Sm6C2NO3 structure. Source: Alexandria via LeMat-Bulk, functional PBE.

a = 8.0455 Å, b = 8.0455 Å, c = 7.1914 Å
α = 102.70°, β = 102.70°, γ = 25.93°
With the nearest neighbours (Å) after each atom.
Fractional positions:
Sm 0.0021 0.0021 0.2455  1 C 2.48, 2 N 2.52, 3 O 2.58
Sm 0.3324 0.3324 0.4195  3 C 2.54-2.57, 3 O 2.56-2.57
Sm 0.3347 0.3347 0.9134  2 C 2.51, 1 N 2.52, 3 O 2.56-2.57
Sm 0.6653 0.6653 0.0866  2 C 2.51, 1 N 2.52, 3 O 2.56-2.57
Sm 0.6676 0.6676 0.5805  3 C 2.54-2.57, 3 O 2.56-2.57
Sm 0.9979 0.9979 0.7545  1 C 2.48, 2 N 2.52, 3 O 2.58
C 0.1643 0.1643 0.3296  6 Sm 2.48-2.57
C 0.8357 0.8357 0.6704  6 Sm 2.48-2.57
N 0.5000 0.5000 0.0000  6 Sm 2.52
O 0.1668 0.1668 0.8346  6 Sm 2.56-2.58
O 0.5000 0.5000 0.5000  6 Sm 2.56-2.58
O 0.8332 0.8332 0.1654  6 Sm 2.56-2.58

Properties
Energy relative to the elements, uncorrected: -174.1 kJ per mole of atoms
DOS(E_F): 2.07 states/eV/cell



# 3
A geometry-optimized Sm6CN3O2 structure. Source: Alexandria via LeMat-Bulk, functional PBE.

a = 6.2069 Å, b = 6.2069 Å, c = 6.2178 Å
α = 99.59°, β = 99.59°, γ = 120.00°
With the nearest neighbours (Å) after each atom.
Fractional positions:
Sm 0.0849 0.4154 0.7556  3 N 2.51-2.55, 1 C 2.54, 2 O 2.56
Sm 0.2457 0.2457 0.2460  3 N 2.50-2.54, 1 C 2.54, 2 O 2.56
Sm 0.4154 0.0849 0.7556  3 N 2.51-2.55, 1 C 2.54, 2 O 2.56
Sm 0.5846 0.9151 0.2444  3 N 2.51-2.55, 1 C 2.54, 2 O 2.56
Sm 0.7543 0.7543 0.7540  3 N 2.50-2.54, 1 C 2.54, 2 O 2.56
Sm 0.9151 0.5846 0.2444  3 N 2.51-2.55, 1 C 2.54, 2 O 2.56
C 0.0000 0.0000 0.5000  6 Sm 2.54
N 0.1646 0.8354 0.0000  6 Sm 2.50-2.55
N 0.5000 0.5000 0.0000  6 Sm 2.51-2.54
N 0.8354 0.1646 0.0000  6 Sm 2.50-2.55
O 0.3333 0.6667 0.5000  6 Sm 2.56
O 0.6667 0.3333 0.5000  6 Sm 2.56

Properties
Energy relative to the elements, uncorrected: -172.7 kJ per mole of atoms
DOS(E_F): 2.54 states/eV/cell



DOS(E_F) of number 3 (Sm6CN3O2)? 2.54 states/eV/cell



Look up the energy relative to the elements, uncorrected of the first one. -138.6 kJ per mole of atoms